# 1
NaNbAl2Cu, optimized geometry, DFT PBE; energy of formation = 0.7382 eV/atom; density of states at the Fermi level = 0.826 states/eV/atom
1.0
5.145 0.000 0.000
0.000 4.793 0.000
0.000 0.000 5.145
Al Cu Nb Na
2 1 1 1
direct
0.000 0.000 0.500 Al
0.500 0.000 0.000 Al
0.000 0.500 0.000 Cu
0.000 0.000 0.000 Nb
0.500 0.500 0.500 Na

---

# 2
NaAl2CuO4, optimized geometry, DFT PBE; formation energy (no corrections) = -2157 meV per atom
1.0
-0.508 3.732 2.127
1.039 -1.971 3.707
4.571 0.217 -3.688
Cu Na O Al
1 1 4 2
direct
0.500 0.500 0.000 Cu
0.000 0.000 0.000 Na
0.582 0.582 0.688 O
0.418 0.894 0.312 O
0.894 0.418 0.312 O
0.106 0.106 0.688 O
0.750 0.250 0.500 Al
0.250 0.750 0.500 Al